This record from Alexandria via LeMat-Bulk describes crystalline HfAu2F at its relaxed geometry. The functional is PBE-GGA.

Results
Energy relative to the elements, uncorrected in eV per atom: -0.6001
Space group: Fm-3m (225)
Excess energy over the best structure of this formula in the dataset in meV/atom: 135.9

Structure (CIF):
```
data_HfAu2F
_chemical_formula_sum 'Hf4 Au8 F4'
_space_group_name_H-M_alt 'P 1'
_space_group_IT_number 1
_space_group_name_Hall 'P 1'
_cell_length_a 6.540
_cell_length_b 6.540
_cell_length_c 6.540
_cell_angle_alpha 90.00
_cell_angle_beta 90.00
_cell_angle_gamma 90.00
loop_
_atom_site_label
_atom_site_type_symbol
_atom_site_fract_x
_atom_site_fract_y
_atom_site_fract_z
Hf1 Hf 0.000 0.000 0.000
Hf2 Hf 0.000 0.500 0.500
Hf3 Hf 0.500 0.000 0.500
Hf4 Hf 0.500 0.500 0.000
Au1 Au 0.250 0.250 0.250
Au2 Au 0.250 0.250 0.750
Au3 Au 0.250 0.750 0.250
Au4 Au 0.250 0.750 0.750
Au5 Au 0.750 0.250 0.250
Au6 Au 0.750 0.250 0.750
Au7 Au 0.750 0.750 0.250
Au8 Au 0.750 0.750 0.750
F1 F 0.000 0.000 0.500
F2 F 0.000 0.500 0.000
F3 F 0.500 0.000 0.000
F4 F 0.500 0.500 0.500
```